Record 1
# CuSeCl2

An optimized crystal structure of CuSeCl2 (GGA-PBE, the Alexandria database).

Properties
- E_form (uncorrected) (eV/atom) = 0.040
- space-group type = Cmmm
- crystal system = orthorhombic

Unit cell a=5.245 b=5.245 c=3.191 alpha=90.00 beta=90.00 gamma=101.07
Atoms (fractional coordinates):
Cu 0.000 0.000 0.000
Se 0.500 0.500 0.000
Cl 0.203 0.797 0.500
Cl 0.797 0.203 0.500


Record 2
# Tb2Er3Al2

An optimized crystal structure of Tb2Er3Al2 (GGA-PBE, the Alexandria database).

Properties
- energy of formation from the pure elements (eV/f.u.) = -1.46
- space-group type = R-3m
- crystal system = trigonal

Unit cell a=8.348 b=8.348 c=8.348 alpha=36.66 beta=36.66 gamma=36.66
Atoms (fractional coordinates):
Tb 0.083 0.083 0.083
Tb 0.917 0.917 0.917
Er 0.348 0.348 0.348
Er 0.500 0.500 0.500
Er 0.652 0.652 0.652
Al 0.218 0.218 0.218
Al 0.782 0.782 0.782


Number 1: excess energy over the best structure of this formula in the dataset 336.8 meV/atom, Fermi-level density of states 3.21 states/eV per cell, total energy -2.778 eV per atom. Number 2: excess energy over the best structure of this formula in the dataset 0.0 meV/atom, Fermi-level density of states 3.84 states/eV per cell, total energy -4.557 eV per atom.